## CsSmTlSe3 (PBE)

Data for an optimized crystal structure of CsSmTlSe3.

## Properties
Final energy in eV per atom: -4.200

a b c (Å): 8.4527 8.4527 11.7754
angles (deg): 90.00 90.00 149.76
Last column: nearest neighbours and their distance in Å.
Fractional coordinates of all 12 atoms:
Cs (0.2341, 0.7659, 0.2500)  4 Se 3.70-3.76, 2 Tl 3.96
Cs (0.7659, 0.2341, 0.7500)  4 Se 3.70-3.76, 2 Tl 3.96
Se (0.8792, 0.1208, 0.0219)  1 Tl 2.84, 2 Sm 2.97
Se (0.5474, 0.4526, 0.2500)  2 Tl 2.86, 2 Sm 3.04
Se (0.8792, 0.1208, 0.4781)  1 Tl 2.84, 2 Sm 2.97
Se (0.1208, 0.8792, 0.5219)  1 Tl 2.84, 2 Sm 2.97
Se (0.4526, 0.5474, 0.7500)  2 Tl 2.86, 2 Sm 3.04
Se (0.1208, 0.8792, 0.9781)  1 Tl 2.84, 2 Sm 2.97
Sm (0.5000, 0.5000, 0.0000)  6 Se 2.97-3.04
Sm (0.5000, 0.5000, 0.5000)  6 Se 2.97-3.04
Tl (0.9358, 0.0642, 0.2500)  4 Se 2.84-2.86
Tl (0.0642, 0.9358, 0.7500)  4 Se 2.84-2.86

***

## TmAgAsO (PBE)

Data for an optimized crystal structure of TmAgAsO.

## Properties
Polymorph energy (0 for the lowest one) in meV per atom: 656

a b c (Å): 5.6559 5.6559 4.7443
angles (deg): 90.00 90.00 90.00
Last column: nearest neighbours and their distance in Å.
Fractional coordinates of all 8 atoms:
Ag (0.2500, 0.2500, 0.0009)  2 As 2.37
Ag (0.7500, 0.7500, 0.9991)  2 As 2.37
As (0.7500, 0.7500, 0.4991)  2 Ag 2.37
As (0.2500, 0.2500, 0.5009)  2 Ag 2.37
O (0.7500, 0.2500, 0.0000)  2 Tm 2.37
O (0.2500, 0.7500, 0.0000)  2 Tm 2.37
Tm (0.7500, 0.2500, 0.5000)  2 O 2.37
Tm (0.2500, 0.7500, 0.5000)  2 O 2.37

***

## NpF (PBE)

Data for an optimized crystal structure of NpF.

## Properties
Polymorph energy (0 for the lowest one) in meV per atom: 210

a b c (Å): 3.5593 3.5593 3.5593
angles (deg): 60.00 60.00 60.00
Last column: nearest neighbours and their distance in Å.
Fractional coordinates of all 2 atoms:
F (0.0000, 0.0000, 0.0000)  6 Np 2.52
Np (0.5000, 0.5000, 0.5000)  6 F 2.52

***

| no. | theoretical density (g cm⁻³) | volume (Å³/atom) |
| --- | --- | --- |
| 1 | 5.7 | 35.313 |
| 2 | 8.0 | 18.970 |
| 3 | 13.3 | 15.942 |